Material: CeErInRu
Method: DFT, GGA-PBE
State: relaxed

The value obtained for the energy of formation is -248 meV/atom. The calculation puts the volume at 23.43 A^3/atom. The value obtained for the density of states at the Fermi level is 22.867 states/eV/cell.

The space group is F-43m (No. 216) and the conventional cell measures 7.211, 7.211 and 7.211 Å, with angles of 90.00, 90.00 and 90.00 degrees. Symmetry generates all atoms from Ce at (0.000, 0.000, 0.000), Er at (0.000, 0.000, 0.500), In at (0.250, 0.250, 0.250) and Ru at (0.250, 0.250, 0.750).